Record 1
Compound: Hf2Sc4S3N3
Source: OQMD via LeMat-Bulk
Functional: GGA-PBE
Structure: optimized geometry

Calculated values
- E: -8.70 eV/atom
- Spin magnetization: 0.00 μB/f.u.

Cell lengths 5.7667, 5.7667, 12.3336 Å; angles 103.55, 103.55, 60.01 degrees
Fractional positions:
S 0.2530 0.4161 0.2508
S 0.7470 0.5839 0.7492
S 0.0848 0.9152 0.7500
S 0.9151 0.0848 0.2500
S 0.4161 0.2530 0.7508
S 0.5839 0.7470 0.2492
N 0.3361 0.8278 0.5000
N 0.5000 0.0000 0.0000
N 0.1722 0.6639 0.0000
N 0.6639 0.1722 0.5000
N 0.0000 0.5000 0.5000
N 0.8278 0.3361 0.0000
Hf 0.3618 0.5331 0.5983
Hf 0.6382 0.4669 0.4017
Hf 0.4669 0.6382 0.9017
Hf 0.5331 0.3618 0.0983
Sc 0.1279 0.3005 0.8993
Sc 0.6995 0.8721 0.6007
Sc 0.9622 0.8039 0.3993
Sc 0.8721 0.6995 0.1007
Sc 0.1961 0.0378 0.1007
Sc 0.0378 0.1961 0.6007
Sc 0.8039 0.9622 0.8993
Sc 0.3005 0.1279 0.3993

=====

Record 2
Compound: Hf4Sc2S3N3
Source: OQMD via LeMat-Bulk
Functional: GGA-PBE
Structure: optimized geometry

Calculated values
- E: -9.18 eV/atom
- Spin magnetization: 0.00 μB/f.u.

Cell lengths 5.7493, 5.7493, 12.3862 Å; angles 103.41, 103.41, 60.03 degrees
Fractional positions:
Sc 0.5340 0.3700 0.1011
Sc 0.3700 0.5340 0.6011
Sc 0.6300 0.4660 0.3989
Sc 0.4660 0.6300 0.8989
N 0.0000 0.5000 0.5000
N 0.6669 0.1658 0.5000
N 0.1658 0.6669 0.0000
N 0.3331 0.8342 0.5000
N 0.5000 0.0000 0.0000
N 0.8342 0.3331 0.0000
S 0.7515 0.5840 0.7507
S 0.9189 0.0811 0.2500
S 0.5840 0.7515 0.2507
S 0.0811 0.9189 0.7500
S 0.2485 0.4160 0.2493
S 0.4160 0.2485 0.7493
Hf 0.0292 0.2028 0.5984
Hf 0.8633 0.6990 0.0984
Hf 0.6990 0.8633 0.5984
Hf 0.2028 0.0292 0.0984
Hf 0.3010 0.1367 0.4016
Hf 0.7972 0.9708 0.9016
Hf 0.9708 0.7972 0.4016
Hf 0.1367 0.3010 0.9016

=====

Record 3
Compound: Hf4SnSN2
Source: OQMD via LeMat-Bulk
Functional: GGA-PBE
Structure: optimized geometry

Calculated values
- E: -9.35 eV/atom
- Spin magnetization: 0.00 μB/f.u.

Cell lengths 3.2977, 3.2977, 13.1796 Å; angles 90.00, 90.00, 120.00 degrees
Fractional positions:
Hf 0.3333 0.6667 0.1374
Hf 0.0000 0.0000 0.6791
Hf 0.0000 0.0000 0.3209
Hf 0.3333 0.6667 0.8626
Sn 0.3333 0.6667 0.5000
N 0.6667 0.3333 0.2302
N 0.6667 0.3333 0.7698
S 0.0000 0.0000 0.0000